A PBEsol-optimized structure of KYTa. Source: the Alexandria database, functional meta-GGA SCAN.

Calculated values
SG: F-43m
Magnetic moment in Bohr magnetons per cell: 4.97
Excess energy over the best structure of this formula in the dataset in eV per atom: 0.000
DFT formation energy in eV/f.u.: 5.45

Lattice parameters (Å, degrees): 5.3584 5.3584 5.3584 60.00 60.00 60.00
Last column: nearest neighbours and their distance in Å.
Element x y z (fractional)
K 0.5000 0.5000 0.5000  4 Ta 3.28
Ta 0.2500 0.2500 0.2500  4 K 3.28, 4 Y 3.28
Y 0.0000 0.0000 0.0000  4 Ta 3.28